[1]
Pa5Pd: relaxed, GGA-PBE.

Properties
DFT formation energy = -154 meV/atom
space group = Cmmm

Cell: 8.362 8.362 3.242 Å, 90.00 90.00 141.57°
Sites, in units of the cell vectors:
Pa: 0.000 0.000 0.000
Pa: 0.168 0.832 0.500
Pa: 0.342 0.658 0.000
Pa: 0.658 0.342 0.000
Pa: 0.832 0.168 0.500
Pd: 0.500 0.500 0.500


[2]
Ac2PtAu2: relaxed, GGA-PBE.

Properties
DFT formation energy = -932 meV/atom
space group = C2/m

Cell: 6.224 6.224 12.326 Å, 113.93 113.93 40.54°
Sites, in units of the cell vectors:
Ac: 0.051 0.051 0.357
Ac: 0.190 0.190 0.114
Ac: 0.810 0.810 0.886
Ac: 0.949 0.949 0.643
Pt: 0.288 0.288 0.698
Pt: 0.712 0.712 0.302
Au: 0.370 0.370 0.421
Au: 0.463 0.463 0.111
Au: 0.537 0.537 0.889
Au: 0.630 0.630 0.579


[3]
Ti4Se5N: relaxed, GGA-PBE.

Properties
raw formation energy = -1.185 eV/atom
space group = C2/m

Cell: 7.995 7.995 7.091 Å, 101.96 101.96 24.36°
Sites, in units of the cell vectors:
Ti: 0.001 0.001 0.290
Ti: 0.364 0.364 0.434
Ti: 0.636 0.636 0.566
Ti: 0.999 0.999 0.710
Se: 0.162 0.162 0.834
Se: 0.169 0.169 0.324
Se: 0.500 0.500 0.000
Se: 0.831 0.831 0.676
Se: 0.838 0.838 0.166
N: 0.500 0.500 0.500


[4]
AcPmNd2S4: relaxed, GGA-PBE.

Properties
raw formation energy = -2.007 eV/atom
space group = P2/m

Cell: 7.146 4.092 7.178 Å, 90.00 109.15 90.00°
Sites, in units of the cell vectors:
Ac: 0.000 0.000 0.000
Pm: 0.000 0.500 0.500
Nd: 0.500 0.000 0.500
Nd: 0.500 0.500 0.000
S: 0.252 0.000 0.743
S: 0.259 0.500 0.261
S: 0.741 0.500 0.739
S: 0.748 0.000 0.257


[5]
Sb2AsBr: relaxed, GGA-PBE.

Properties
raw formation energy = 0.229 eV/atom
space group = Immm
distance to the lowest polymorph of the same formula = 282 meV per atom

Cell: 6.299 6.299 6.299 Å, 146.00 130.86 61.10°
Sites, in units of the cell vectors:
Sb: 0.202 0.202 0.000
Sb: 0.798 0.798 0.000
As: 0.000 0.500 0.500
Br: 0.500 0.000 0.500


[6]
Ac2La2PrNd: relaxed, GGA-PBE.

Properties
DFT formation energy = 229 meV/atom
space group = Pnnm

Cell: 6.923 18.897 3.665 Å, 90.00 90.00 90.00°
Sites, in units of the cell vectors:
Ac: 0.221 0.188 0.000
Ac: 0.279 0.688 0.500
Ac: 0.721 0.312 0.500
Ac: 0.779 0.812 0.000
La: 0.214 0.361 0.500
La: 0.286 0.861 0.000
La: 0.714 0.139 0.000
La: 0.786 0.639 0.500
Pr: 0.000 0.000 0.000
Pr: 0.500 0.500 0.500
Nd: 0.000 0.500 0.000
Nd: 0.500 0.000 0.500